# 1
Here is a geometry-optimized Na6Tl2O structure from Alexandria via LeMat-Bulk. Energies are from GGA-PBE.

Summary:
Total magnetization (μB per formula unit): 0.00
Uncorrected formation energy (kJ/mol of atoms): -41
N(E_F) (states/eV/atom): 0.514

extended XYZ file:
```
9
Lattice="6.0654 -3.4961 0.0000 6.0654 3.4961 0.0000 -4.0209 0.0000 5.7225" Properties=species:S:1:pos:R:3 pbc="T T T"
Na 1.8693 0.0000 1.3127
Na 5.1373 1.8816 1.3199
Na 2.9726 1.8816 4.4026
Na 5.1373 -1.8816 1.3199
Na 2.9726 -1.8816 4.4026
Na 6.2406 0.0000 4.4098
Tl 0.0186 0.0000 4.2847
Tl 8.0913 0.0000 1.4378
O 0.0000 0.0000 0.0000
```

***

# 2
Here is a geometry-optimized FeC5 structure from Alexandria via LeMat-Bulk. Energies are from GGA-PBE.

Summary:
E_form (eV/atom): 2.79
Total magnetization (μB per formula unit): 0.54
N(E_F) (states/eV/atom): 0.552

extended XYZ file:
```
6
Lattice="3.6700 0.0000 0.0000 -1.8350 3.1784 0.0000 0.0000 0.0000 4.1500" Properties=species:S:1:pos:R:3 pbc="T T T"
Fe 0.0000 0.0000 0.0000
C -1.4178 2.4557 2.0750
C 0.4172 0.7227 2.0750
C 0.0000 2.1189 0.0000
C 1.8350 1.0594 0.0000
C 2.8356 0.0000 2.0750
```

***

# 3
Here is a geometry-optimized ErHf2Ir3 structure from Alexandria via LeMat-Bulk. Energies are from GGA-PBE.

Summary:
E_form (eV/atom): -0.92
Total magnetization (μB per formula unit): 0.00
N(E_F) (states/eV/atom): 0.970

extended XYZ file:
```
6
Lattice="3.2627 0.0000 0.0000 0.0000 3.2627 0.0000 0.0000 0.0000 10.3932" Properties=species:S:1:pos:R:3 pbc="T T T"
Er 0.0000 0.0000 0.0000
Hf 0.0000 0.0000 3.5146
Hf 0.0000 0.0000 6.8786
Ir 1.6313 1.6313 1.9867
Ir 1.6313 1.6313 5.1966
Ir 1.6313 1.6313 8.4065
```

***

# 4
Here is a geometry-optimized TmCdSi structure from Alexandria via LeMat-Bulk. Energies are from GGA-PBE.

Summary:
Total magnetization (μB per formula unit): 0.00
Uncorrected formation energy (kJ/mol of atoms): -44
N(E_F) (states/eV/atom): 0.605

extended XYZ file:
```
6
Lattice="2.0796 -8.2341 0.0000 2.0796 8.2341 0.0000 0.0000 0.0000 3.7683" Properties=species:S:1:pos:R:3 pbc="T T T"
Tm 2.0796 6.7782 2.8263
Tm 2.0796 -6.7782 0.9421
Cd 2.0796 3.5268 2.8263
Cd 2.0796 -3.5268 0.9421
Si 2.0796 0.7619 2.8263
Si 2.0796 -0.7619 0.9421
```

***

# 5
Here is a geometry-optimized K3BaSr structure from Alexandria via LeMat-Bulk. Energies are from GGA-PBE.

Summary:
E_form (eV/atom): 0.58
Total magnetization (μB per formula unit): 0.81
N(E_F) (states/eV/atom): 1.902

extended XYZ file:
```
5
Lattice="7.6547 0.0000 0.0000 0.0000 7.6547 0.0000 0.0000 0.0000 7.6547" Properties=species:S:1:pos:R:3 pbc="T T T"
K 0.0000 0.0000 3.8274
K 0.0000 3.8274 0.0000
K 3.8274 0.0000 0.0000
Ba 0.0000 0.0000 0.0000
Sr 3.8274 3.8274 3.8274
```

***

# 6
Here is a geometry-optimized LaPm2Cl8 structure from Alexandria via LeMat-Bulk. Energies are from GGA-PBE.

Summary:
Total magnetization (μB per formula unit): 1.05
Uncorrected formation energy (kJ/mol of atoms): -205
N(E_F) (states/eV/atom): 0.629

extended XYZ file:
```
11
Lattice="4.2640 -6.2574 0.0000 4.2640 6.2574 0.0000 -1.4914 0.0000 5.1936" Properties=species:S:1:pos:R:3 pbc="T T T"
La 0.0000 0.0000 0.0000
Pm 3.5183 2.2863 2.5968
Pm 3.5183 -2.2863 2.5968
Cl 0.7773 1.6108 3.0140
Cl 4.2640 3.3063 0.0000
Cl 0.7773 -1.6108 3.0140
Cl 2.8693 0.0000 0.9509
Cl 4.1673 0.0000 4.2427
Cl 6.2593 1.6108 2.1796
Cl 4.2640 -3.3063 0.0000
Cl 6.2593 -1.6108 2.1796
```